## SrTe2As (PBE)

Data for crystalline SrTe2As at its relaxed geometry. Values from VASP.

The structure in Quantum ESPRESSO input format:
```
&SYSTEM
  ibrav = 0, nat = 4, ntyp = 3
/
ATOMIC_SPECIES
Sr 87.62 Sr.upf
Te 127.60 Te.upf
As 74.92 As.upf
CELL_PARAMETERS angstrom
3.407 -3.986 0.000
3.407 3.986 0.000
0.000 0.000 4.208
ATOMIC_POSITIONS crystal
Sr 0.000 0.000 0.000
Te 0.000 0.500 0.500
Te 0.500 0.000 0.500
As 0.500 0.500 0.000
```

## Properties
The calculation puts the total magnetization at 0.0 Bohr magnetons per cell. The space group is Cmmm. The formation energy without anion corrections comes out at -0.514 eV per atom.

***

## SrTe2As (PBE)

Data for crystalline SrTe2As at its relaxed geometry. Values from VASP.

The structure in Quantum ESPRESSO input format:
```
&SYSTEM
  ibrav = 0, nat = 4, ntyp = 3
/
ATOMIC_SPECIES
Sr 87.62 Sr.upf
Te 127.60 Te.upf
As 74.92 As.upf
CELL_PARAMETERS angstrom
-2.101 2.850 4.938
2.101 -2.850 4.938
2.101 2.850 -4.938
ATOMIC_POSITIONS crystal
Sr 0.000 0.000 0.000
Te 0.299 0.799 0.500
Te 0.701 0.201 0.500
As 0.500 0.500 0.000
```

## Properties
The calculation puts the total magnetization at 0.0 Bohr magnetons per cell. The space group is Immm. The formation energy without anion corrections comes out at -0.633 eV per atom.

***

## SrTe2As (PBE)

Data for crystalline SrTe2As at its relaxed geometry. Values from VASP.

The structure in Quantum ESPRESSO input format:
```
&SYSTEM
  ibrav = 0, nat = 4, ntyp = 3
/
ATOMIC_SPECIES
Sr 87.62 Sr.upf
Te 127.60 Te.upf
As 74.92 As.upf
CELL_PARAMETERS angstrom
0.000 3.893 3.893
3.893 0.000 3.893
3.893 3.893 0.000
ATOMIC_POSITIONS crystal
Sr 0.000 0.000 0.000
Te 0.250 0.250 0.250
Te 0.500 0.500 0.500
As 0.750 0.750 0.750
```

## Properties
The calculation puts the total magnetization at 0.0 Bohr magnetons per cell. The space group is F-43m. The formation energy without anion corrections comes out at -0.213 eV per atom.

***

## SrTeAs2 (PBE)

Data for crystalline SrTeAs2 at its relaxed geometry. Values from VASP.

The structure in Quantum ESPRESSO input format:
```
&SYSTEM
  ibrav = 0, nat = 8, ntyp = 3
/
ATOMIC_SPECIES
Sr 87.62 Sr.upf
Te 127.60 Te.upf
As 74.92 As.upf
CELL_PARAMETERS angstrom
-3.302 3.302 7.063
3.302 -3.302 7.063
3.302 3.302 -7.063
ATOMIC_POSITIONS crystal
Sr 0.000 0.000 0.000
Sr 0.750 0.250 0.500
Te 0.250 0.750 0.500
Te 0.500 0.500 0.000
As 0.170 0.625 0.045
As 0.375 0.420 0.545
As 0.580 0.125 0.955
As 0.875 0.830 0.455
```

## Properties
The calculation puts the total magnetization at 0.0 Bohr magnetons per cell. The space group is I-42d. The formation energy without anion corrections comes out at -0.138 eV per atom.

***

## SrTe2As (PBE)

Data for crystalline SrTe2As at its relaxed geometry. Values from VASP.

The structure in Quantum ESPRESSO input format:
```
&SYSTEM
  ibrav = 0, nat = 8, ntyp = 3
/
ATOMIC_SPECIES
Sr 87.62 Sr.upf
Te 127.60 Te.upf
As 74.92 As.upf
CELL_PARAMETERS angstrom
-3.242 3.242 8.056
3.242 -3.242 8.056
3.242 3.242 -8.056
ATOMIC_POSITIONS crystal
Sr 0.000 0.000 0.000
Sr 0.750 0.250 0.500
Te 0.187 0.625 0.062
Te 0.375 0.437 0.562
Te 0.563 0.125 0.938
Te 0.875 0.813 0.438
As 0.250 0.750 0.500
As 0.500 0.500 0.000
```

## Properties
The calculation puts the total magnetization at 0.0 Bohr magnetons per cell. The space group is I-42d. The formation energy without anion corrections comes out at -0.488 eV per atom.

***

## Sr2TeAs2 (PBE)

Data for crystalline Sr2TeAs2 at its relaxed geometry. Values from VASP.

The structure in Quantum ESPRESSO input format:
```
&SYSTEM
  ibrav = 0, nat = 5, ntyp = 3
/
ATOMIC_SPECIES
Sr 87.62 Sr.upf
Te 127.60 Te.upf
As 74.92 As.upf
CELL_PARAMETERS angstrom
-3.039 3.039 4.257
3.039 -3.039 4.257
3.039 3.039 -4.257
ATOMIC_POSITIONS crystal
Sr 0.250 0.750 0.500
Sr 0.750 0.250 0.500
Te 0.000 0.000 0.000
As 0.351 0.351 0.000
As 0.649 0.649 0.000
```

## Properties
The calculation puts the total magnetization at 0.0 Bohr magnetons per cell. The space group is I4/mmm. The formation energy without anion corrections comes out at -0.820 eV per atom.